1.
Here is a geometry-optimized CaNd3Fe structure from Alexandria. Energies are from PBE.

The structure belongs to space group Pm-3m (No. 221); the cell edges are 5.4661, 5.4661 and 5.4661 Å and the angles 90.00°, 90.00° and 90.00°. The asymmetric unit holds Ca at (0.0000, 0.0000, 0.0000), Nd at (0.0000, 0.5000, 0.5000) and Fe at (0.5000, 0.5000, 0.5000).

The value obtained for the formation energy is 0.6 eV/f.u.

2.
Here is a geometry-optimized VPtI structure from Alexandria. Energies are from PBE.

The structure belongs to space group Cm (No. 8); the cell edges are 6.9418, 4.0006 and 10.5320 Å and the angles 90.00°, 90.57° and 90.00°. The asymmetric unit holds V at (0.0000, 0.0000, 0.0000), V at (0.0031, 0.0000, 0.2237), Pt at (0.1655, 0.5000, 0.9028), Pt at (0.3347, 0.0000, 0.1154), I at (0.1723, 0.5000, 0.3785) and I at (0.3301, 0.0000, 0.7385).

The offset from the most stable computed form comes out at 0.095 eV per atom. As for the formation energy without anion corrections: -153 meV/atom.

3.
Here is a geometry-optimized YTh2Ag structure from Alexandria. Energies are from PBE.

The structure belongs to space group P4/mmm (No. 123); the cell edges are 3.5378, 3.5378 and 9.4547 Å and the angles 90.00°, 90.00° and 90.00°. The asymmetric unit holds Y at (0.0000, 0.0000, 0.0000), Th at (0.5000, 0.5000, 0.2765) and Ag at (0.0000, 0.0000, 0.5000).

The offset from the most stable computed form comes out at 0.000 eV per atom. The value obtained for the formation energy is 0.1 eV/f.u.

4.
Here is a geometry-optimized V2Ni2C structure from Alexandria. Energies are from PBE.

The structure belongs to space group I4/mmm (No. 139); the cell edges are 3.1243, 3.1243 and 12.5382 Å and the angles 90.00°, 90.00° and 90.00°. The asymmetric unit holds V at (0.0000, 0.5000, 0.2500), Ni at (0.0000, 0.0000, 0.0896) and C at (0.0000, 0.0000, 0.5000).

The offset from the most stable computed form comes out at 0.972 eV per atom. The value obtained for the formation energy is 6.3 eV/f.u.

5.
Here is a geometry-optimized Y2AgHg8 structure from Alexandria. Energies are from PBE.

The structure belongs to space group P4/mmm (No. 123); the cell edges are 4.8639, 4.8639 and 11.4388 Å and the angles 90.00°, 90.00° and 90.00°. The asymmetric unit holds Y at (0.0000, 0.0000, 0.1866), Ag at (0.0000, 0.0000, 0.5000), Hg at (0.0000, 0.5000, 0.0000), Hg at (0.0000, 0.5000, 0.3625) and Hg at (0.5000, 0.5000, 0.1794).

The offset from the most stable computed form comes out at 0.000 eV per atom. The value obtained for the formation energy is -2.6 eV/f.u.

6.
Here is a geometry-optimized PrAl2AgAu5 structure from Alexandria. Energies are from PBE.

The structure belongs to space group P4/mmm (No. 123); the cell edges are 4.8977, 4.8977 and 7.8094 Å and the angles 90.00°, 90.00° and 90.00°. The asymmetric unit holds Pr at (0.0000, 0.0000, 0.0000), Al at (0.5000, 0.5000, 0.3381), Ag at (0.0000, 0.0000, 0.5000), Au at (0.0000, 0.5000, 0.2511) and Au at (0.5000, 0.5000, 0.0000).

The value obtained for the formation energy is -2.9 eV/f.u.